Ce2Pr4H2Pb3: relaxed, PBE.

Geometry as extended XYZ:
```
11
Lattice="-1.135 -4.459 -1.727 3.165 -2.031 3.164 -10.553 2.230 8.172" Properties=species:S:1:pos:R:3 pbc="T T T"
Ce -5.760 -0.613 5.369
Ce -2.763 -3.647 4.240
Pr -6.353 -1.859 8.979
Pr -8.503 -3.074 6.533
Pr -0.020 -1.186 3.076
Pr -2.170 -2.400 0.631
H -7.560 -0.804 7.047
H -0.963 -3.455 2.563
Pb 0.000 0.000 0.000
Pb -3.360 -0.357 3.132
Pb -5.163 -3.902 6.477
```

Density of states at the Fermi level in states/eV/cell: 22.99
Uncorrected energy in eV for the cell shown: -52.9